# Na2PtF

A PBEsol-optimized structure of Na2PtF (SCAN, Alexandria via LeMat-Bulk).

Values from the calculation:
For the distance to the lowest polymorph of the same formula, the calculation gives 0 meV/atom. Its space group is I-42d. The mass density comes out at 5.8 g/cm³. The volume is 18.61 Å³ per atom. For the calculated total energy, the calculation gives -21.402 eV per atom. The value obtained for the formation energy from raw total energies is -0.8612 eV/atom.

a = 5.796 Å, b = 5.796 Å, c = 5.796 Å
α = 104.04°, β = 112.25°, γ = 112.25°
Element x y z (fractional)
Na 0.909 0.534 0.125
Na 0.091 0.216 0.625
Na 0.409 0.875 0.784
Na 0.591 0.375 0.466
Pt 0.500 0.750 0.250
Pt 0.000 0.000 0.000
F 0.500 0.250 0.750
F 0.000 0.500 0.500